TaAl3F | Alexandria via LeMat-Bulk | PBE | relaxed; E = -5.3399 eV/atom; energy above the lowest structure with this stoichiometry = 0 meV per atom; density of states at the Fermi level = 2.67 states/eV/cell
1.0
4.2193 0.0000 0.0000
0.0000 4.2193 0.0000
0.0000 0.0000 4.2193
Ta Al F
1 3 1
Direct
0.0000 0.0000 0.0000
0.0000 0.5000 0.5000
0.5000 0.0000 0.5000
0.5000 0.5000 0.0000
0.5000 0.5000 0.5000